# 1
VASP calculation (GGA-PBE) on an optimized crystal structure of Sm4HgC.

Cell: 8.5012 14.3317 6.2988 Å, 90.00 118.76 90.00°
Space group C2/c (No. 15)
Unique sites:
Sm 0.1333 0.2004 0.1351 x8
Sm 0.2141 0.0483 0.6853 x8
Hg 0.0000 0.3838 0.7500 x4
C 0.0000 0.0715 0.2500 x4

size of the total moment: 0.0 μB/f.u.
formation enthalpy at 0 K: -153 meV/atom

# 2
VASP calculation (GGA-PBE) on an optimized crystal structure of SmHgC.

Cell: 7.7066 3.7297 9.6212 Å, 90.00 107.37 90.00°
Space group C2/m (No. 12)
Unique sites:
Sm 0.0890 0.0000 0.3491 x4
Hg 0.1857 0.5000 0.1009 x4
C 0.0897 0.5000 0.5351 x4

size of the total moment: 0.0 μB/f.u.
formation enthalpy at 0 K: -309 meV/atom

# 3
VASP calculation (GGA-PBE) on an optimized crystal structure of Sm2HgC.

Cell: 6.3618 3.6704 8.3851 Å, 90.00 104.72 90.00°
Space group Cm (No. 8)
Unique sites:
Sm 0.0000 0.0000 0.0000 x2
Sm 0.2175 0.0000 0.6534 x2
Hg 0.2753 0.5000 0.3268 x2
C 0.1094 0.5000 0.8288 x2

size of the total moment: 0.0 μB/f.u.
formation enthalpy at 0 K: -289 meV/atom

# 4
VASP calculation (GGA-PBE) on an optimized crystal structure of Sm6Hg3C.

Cell: 10.1218 5.2727 10.4423 Å, 90.00 104.24 90.00°
Space group P2_1/m (No. 11)
Unique sites:
Sm 0.0436 0.2500 0.0810 x2
Sm 0.0808 0.2500 0.4287 x2
Sm 0.0995 0.2500 0.7646 x2
Sm 0.2621 0.7500 0.2812 x2
Sm 0.2965 0.7500 0.6188 x2
Sm 0.4071 0.2500 0.0747 x2
Hg 0.2617 0.7500 0.9308 x2
Hg 0.4048 0.2500 0.4496 x2
Hg 0.4276 0.2500 0.7768 x2
C 0.1004 0.7500 0.4287 x2

size of the total moment: 0.0 μB/f.u.
formation enthalpy at 0 K: -269 meV/atom

# 5
VASP calculation (GGA-PBE) on an optimized crystal structure of Sm4HgC.

Cell: 5.1725 18.2373 6.9690 Å, 90.00 90.00 90.00°
Space group Cmc2_1 (No. 36)
Unique sites:
Sm 0.0000 0.0253 0.0000 x4
Sm 0.0000 0.1702 0.3941 x4
Sm 0.0000 0.2000 0.8913 x4
Sm 0.0000 0.4092 0.1667 x4
Hg 0.0000 0.3818 0.6570 x4
C 0.0000 0.0936 0.6775 x4

size of the total moment: 0.0 μB/f.u.
formation enthalpy at 0 K: -174 meV/atom

# 6
VASP calculation (GGA-PBE) on an optimized crystal structure of Sm8Hg2C3.

Cell: 14.9202 7.3605 6.6402 Å, 90.00 106.65 90.00°
Space group C2/m (No. 12)
Unique sites:
Sm 0.0930 0.2391 0.3859 x8
Sm 0.1008 0.0000 0.8939 x4
Sm 0.1113 0.5000 0.9685 x4
Hg 0.2382 0.5000 0.6735 x4
C 0.0000 0.0000 0.5000 x2
C 0.0000 0.2518 0.0000 x4

size of the total moment: 0.0 μB/f.u.
formation enthalpy at 0 K: -171 meV/atom

# 7
VASP calculation (GGA-PBE) on an optimized crystal structure of Sm2HgC.

Cell: 3.7364 3.7364 23.6530 Å, 90.00 90.00 120.00°
Space group R-3m (No. 166, hexagonal axes)
Unique sites:
Sm 0.0000 0.0000 0.2254 x6
Hg 0.0000 0.0000 0.0000 x3
C 0.0000 0.0000 0.5000 x3

size of the total moment: 1.0 μB/f.u.
formation enthalpy at 0 K: -285 meV/atom

# 8
VASP calculation (GGA-PBE) on an optimized crystal structure of Sm2HgC.

Cell: 5.2254 10.5231 7.3451 Å, 90.00 90.00 90.00°
Space group Ima2 (No. 46)
Unique sites:
Sm 0.2500 0.1034 0.0000 x4
Sm 0.2500 0.6836 0.1578 x4
Hg 0.2500 0.0884 0.4370 x4
C 0.2500 0.6233 0.4702 x4

size of the total moment: 0.0 μB/f.u.
formation enthalpy at 0 K: -108 meV/atom

# 9
VASP calculation (GGA-PBE) on an optimized crystal structure of Sm12Hg3C5.

Cell: 16.2262 16.2262 16.2262 Å, 90.00 90.00 90.00°
Space group Ia-3d (No. 230)
Unique sites:
Sm 0.0350 0.0531 0.6481 x96
Hg 0.0000 0.2500 0.1250 x24
C 0.0000 0.0000 0.0000 x16
C 0.0000 0.2500 0.3750 x24

size of the total moment: 0.0 μB/f.u.
formation enthalpy at 0 K: -79 meV/atom

# 10
VASP calculation (GGA-PBE) on an optimized crystal structure of Sm4HgC2.

Cell: 3.6609 3.6609 44.2085 Å, 90.00 90.00 120.00°
Space group R-3m (No. 166, hexagonal axes)
Unique sites:
Sm 0.0000 0.0000 0.1231 x6
Sm 0.0000 0.0000 0.2736 x6
Hg 0.0000 0.0000 0.0000 x3
C 0.0000 0.0000 0.4262 x6

size of the total moment: 0.0 μB/f.u.
formation enthalpy at 0 K: -229 meV/atom

# 11
VASP calculation (GGA-PBE) on an optimized crystal structure of Sm7Hg3C2.

Cell: 5.0373 24.3359 5.0013 Å, 90.00 90.00 90.00°
Space group Cmmm (No. 65)
Unique sites:
Sm 0.0000 0.0000 0.0000 x2
Sm 0.0000 0.1025 0.5000 x4
Sm 0.0000 0.2042 0.0000 x4
Sm 0.0000 0.3995 0.0000 x4
Hg 0.0000 0.3002 0.5000 x4
Hg 0.0000 0.5000 0.5000 x2
C 0.0000 0.1064 0.0000 x4

size of the total moment: 0.0 μB/f.u.
formation enthalpy at 0 K: -306 meV/atom

# 12
VASP calculation (GGA-PBE) on an optimized crystal structure of Sm6Hg3C.

Cell: 6.6576 8.2685 11.7812 Å, 90.00 119.19 90.00°
Space group P2_1/c (No. 14)
Unique sites:
Sm 0.0780 0.0526 0.2254 x4
Sm 0.1834 0.7208 0.0650 x4
Sm 0.3750 0.1473 0.0539 x4
Hg 0.3140 0.1109 0.7379 x4
Hg 0.5000 0.0000 0.5000 x2
C 0.0000 0.0000 0.0000 x2

size of the total moment: 0.0 μB/f.u.
formation enthalpy at 0 K: -290 meV/atom

# 13
VASP calculation (GGA-PBE) on an optimized crystal structure of Sm4SnHgC.

Cell: 7.1435 15.3676 7.1340 Å, 90.00 90.00 90.00°
Space group Cmcm (No. 63)
Unique sites:
Sm 0.0000 0.0821 0.2500 x4
Sm 0.0000 0.4130 0.2500 x4
Sm 0.2500 0.2500 0.0000 x8
Sn 0.0000 0.3811 0.7500 x4
Hg 0.0000 0.1179 0.7500 x4
C 0.0000 0.2494 0.2500 x4

size of the total moment: 0.0 μB/f.u.
formation enthalpy at 0 K: -422 meV/atom

# 14
VASP calculation (GGA-PBE) on an optimized crystal structure of TbSm3Hg2C.

Cell: 4.9526 5.0703 15.0764 Å, 90.00 90.00 90.00°
Space group Immm (No. 71)
Unique sites:
Tb 0.0000 0.0000 0.0000 x2
Sm 0.0000 0.0000 0.5000 x2
Sm 0.0000 0.5000 0.3327 x4
Hg 0.0000 0.5000 0.1295 x4
C 0.0000 0.5000 0.5000 x2

size of the total moment: 0.0 μB/f.u.
formation enthalpy at 0 K: -319 meV/atom

# 15
VASP calculation (GGA-PBE) on an optimized crystal structure of TbSm2HgC.

Cell: 5.0516 5.0516 4.8924 Å, 90.00 90.00 90.00°
Space group P4/mmm (No. 123)
Unique sites:
Tb 0.0000 0.0000 0.0000 x1
Sm 0.0000 0.5000 0.5000 x2
Hg 0.5000 0.5000 0.0000 x1
C 0.0000 0.0000 0.5000 x1

size of the total moment: 0.0 μB/f.u.
formation enthalpy at 0 K: -287 meV/atom

# 16
VASP calculation (GGA-PBE) on an optimized crystal structure of SmThHgC.

Cell: 3.7006 3.7006 24.2945 Å, 90.00 90.00 120.00°
Space group R3m (No. 160, hexagonal axes)
Unique sites:
Sm 0.0000 0.0000 0.0000 x3
Th 0.0000 0.0000 0.7841 x3
Hg 0.0000 0.0000 0.2286 x3
C 0.0000 0.0000 0.3953 x3

size of the total moment: 0.0 μB/f.u.
formation enthalpy at 0 K: -322 meV/atom

# 17
VASP calculation (GGA-PBE) on an optimized crystal structure of SmTh2HgC.

Cell: 5.0563 5.0563 5.0748 Å, 90.00 90.00 90.00°
Space group P4/mmm (No. 123)
Unique sites:
Sm 0.0000 0.0000 0.0000 x1
Th 0.0000 0.5000 0.5000 x2
Hg 0.5000 0.5000 0.0000 x1
C 0.0000 0.0000 0.5000 x1

size of the total moment: 0.0 μB/f.u.
formation enthalpy at 0 K: -257 meV/atom

# 18
VASP calculation (GGA-PBE) on an optimized crystal structure of Sm3TmHg2C.

Cell: 4.8366 5.0767 15.1330 Å, 90.00 90.00 90.00°
Space group Immm (No. 71)
Unique sites:
Sm 0.0000 0.0000 0.0000 x2
Sm 0.0000 0.5000 0.1673 x4
Tm 0.0000 0.0000 0.5000 x2
Hg 0.0000 0.5000 0.3701 x4
C 0.0000 0.5000 0.0000 x2

size of the total moment: 0.0 μB/f.u.
formation enthalpy at 0 K: -340 meV/atom

# 19
VASP calculation (GGA-PBE) on an optimized crystal structure of SmTm2HgC.

Cell: 4.8046 4.8046 5.0842 Å, 90.00 90.00 90.00°
Space group P4/mmm (No. 123)
Unique sites:
Sm 0.0000 0.0000 0.0000 x1
Tm 0.0000 0.5000 0.5000 x2
Hg 0.5000 0.5000 0.0000 x1
C 0.0000 0.0000 0.5000 x1

size of the total moment: 0.0 μB/f.u.
formation enthalpy at 0 K: -365 meV/atom

# 20
VASP calculation (GGA-PBE) on an optimized crystal structure of SmY2HgC.

Cell: 4.8921 4.8921 5.0888 Å, 90.00 90.00 90.00°
Space group P4/mmm (No. 123)
Unique sites:
Sm 0.0000 0.0000 0.0000 x1
Y 0.0000 0.5000 0.5000 x2
Hg 0.5000 0.5000 0.0000 x1
C 0.0000 0.0000 0.5000 x1

size of the total moment: 0.0 μB/f.u.
formation enthalpy at 0 K: -351 meV/atom